1.
Computed, not measured: MgRe2Te after structural relaxation at the PBE-GGA level of DFT.

Summary:
Final energy (eV per atom): -6.672
Offset from the most stable computed form (meV per atom): 524
Crystal system: tetragonal
Formation energy without anion corrections (kcal/mol of atoms): 17.0

Unit cell a=4.4709 b=4.4709 c=3.3137 alpha=90.00 beta=90.00 gamma=90.00
Space group P4/mmm (No. 123)
Symmetry-distinct sites (fractional):
Mg1 0.0000 0.0000 0.0000 (multiplicity 1)
Re1 0.0000 0.5000 0.5000 (multiplicity 2)
Te1 0.5000 0.5000 0.0000 (multiplicity 1)


2.
Computed, not measured: CeDyAl2Si after structural relaxation at the PBE-GGA level of DFT.

Summary:
Final energy (eV per atom): -5.078
Crystal system: orthorhombic
Formation energy without anion corrections (kcal/mol of atoms): -9.0

Unit cell a=4.3313 b=4.3522 c=12.2045 alpha=90.00 beta=90.00 gamma=90.00
Space group Imm2 (No. 44)
Symmetry-distinct sites (fractional):
Ce1 0.0000 0.0000 0.0000 (multiplicity 2)
Dy1 0.0000 0.5000 0.7592 (multiplicity 2)
Al1 0.0000 0.0000 0.6050 (multiplicity 2)
Al2 0.0000 0.5000 0.2527 (multiplicity 2)
Si1 0.0000 0.0000 0.4049 (multiplicity 2)


3.
Computed, not measured: BeOs3F after structural relaxation at the PBE-GGA level of DFT.

Summary:
Final energy (eV per atom): -6.411
Offset from the most stable computed form (meV per atom): 0
Crystal system: cubic
Formation energy without anion corrections (kcal/mol of atoms): 33.3

Unit cell a=4.1282 b=4.1282 c=4.1282 alpha=90.00 beta=90.00 gamma=90.00
Space group Pm-3m (No. 221)
Symmetry-distinct sites (fractional):
Be1 0.0000 0.0000 0.0000 (multiplicity 1)
Os1 0.0000 0.0000 0.5000 (multiplicity 3)
F1 0.5000 0.5000 0.5000 (multiplicity 1)


4.
Computed, not measured: PmY3Sc3 after structural relaxation at the PBE-GGA level of DFT.

Summary:
Final energy (eV per atom): -5.981
Offset from the most stable computed form (meV per atom): 147
Crystal system: trigonal

Unit cell a=8.3880 b=8.3880 c=20.9339 alpha=90.00 beta=90.00 gamma=120.00
Space group R-3 (No. 148, hexagonal axes)
Symmetry-distinct sites (fractional):
Pm1 0.0000 0.0000 0.1505 (multiplicity 6)
Y1 0.0525 0.4491 0.3812 (multiplicity 18)
Sc1 0.0062 0.2247 0.5568 (multiplicity 18)


5.
Computed, not measured: Na2PbSe2 after structural relaxation at the PBE-GGA level of DFT.

Summary:
Final energy (eV per atom): -3.448
Offset from the most stable computed form (meV per atom): 0
Crystal system: orthorhombic
Formation energy without anion corrections (kcal/mol of atoms): -18.1

Unit cell a=4.2180 b=13.9548 c=10.1939 alpha=90.00 beta=90.00 gamma=90.00
Space group Cmcm (No. 63)
Symmetry-distinct sites (fractional):
Na1 0.0000 0.1375 0.0707 (multiplicity 8)
Pb1 0.0000 0.3936 0.2500 (multiplicity 4)
Se1 0.0000 0.2540 0.7500 (multiplicity 4)
Se2 0.0000 0.5000 0.0000 (multiplicity 4)


6.
Computed, not measured: InSn4Pd15 after structural relaxation at the PBE-GGA level of DFT.

Summary:
Final energy (eV per atom): -5.324
Crystal system: tetragonal

Unit cell a=4.0413 b=4.0413 c=20.1793 alpha=90.00 beta=90.00 gamma=90.00
Space group P4/mmm (No. 123)
Symmetry-distinct sites (fractional):
In1 0.0000 0.0000 0.0000 (multiplicity 1)
Sn1 0.0000 0.0000 0.1987 (multiplicity 2)
Sn2 0.0000 0.0000 0.3997 (multiplicity 2)
Pd1 0.0000 0.5000 0.1008 (multiplicity 4)
Pd2 0.0000 0.5000 0.3001 (multiplicity 4)
Pd3 0.0000 0.5000 0.5000 (multiplicity 2)
Pd4 0.5000 0.5000 0.0000 (multiplicity 1)
Pd5 0.5000 0.5000 0.2010 (multiplicity 2)
Pd6 0.5000 0.5000 0.4003 (multiplicity 2)